## CsRb2As2O6 (PBE)

Data for an optimized crystal structure of CsRb2As2O6.

Summary:
Space group ... No. 166
Formation energy (no corrections) ... -1433.5 meV/atom

a b c (Å): 6.426 6.426 8.585
angles (deg): 68.02 68.02 60.00
Fractional positions:
1 Cs 0.000 0.000 0.000
2 Rb 0.804 0.804 0.589
3 Rb 0.196 0.196 0.411
4 As 0.443 0.443 0.670
5 As 0.557 0.557 0.330
6 O 0.720 0.720 0.291
7 O 0.269 0.720 0.291
8 O 0.720 0.269 0.291
9 O 0.280 0.731 0.709
10 O 0.731 0.280 0.709
11 O 0.280 0.280 0.709

***

## B2C (PBE)

Data for an optimized crystal structure of B2C.

Summary:
Polymorph energy (0 for the lowest one) ... 8.3 meV per atom
Space group ... No. 8
Energy relative to the elements ... 0.194 eV per atom

a b c (Å): 8.148 2.701 4.736
angles (deg): 90.00 90.96 90.00
Fractional positions:
1 C 0.616 0.000 0.656
2 C 0.616 0.500 0.156
3 C 0.109 0.000 0.315
4 C 0.109 0.500 0.815
5 B 0.630 0.000 0.324
6 B 0.630 0.500 0.824
7 B 0.094 0.000 0.983
8 B 0.094 0.500 0.483
9 B 0.301 0.000 0.323
10 B 0.301 0.500 0.823
11 B 0.424 0.000 0.651
12 B 0.424 0.500 0.151

***

## NaTa3Pb (PBE)

Data for an optimized crystal structure of NaTa3Pb.

Summary:
Polymorph energy (0 for the lowest one) ... 0.0 meV per atom
Space group ... No. 221
Energy relative to the elements ... 2.130 eV per atom

a b c (Å): 4.734 4.734 4.734
angles (deg): 90.00 90.00 90.00
Fractional positions:
1 Pb 0.500 0.500 0.500
2 Na 0.000 0.000 0.000
3 Ta 0.000 0.500 0.000
4 Ta 0.000 0.000 0.500
5 Ta 0.500 0.000 0.000

***

## RbCdIn2Pb (PBE)

Data for an optimized crystal structure of RbCdIn2Pb.

Summary:
Polymorph energy (0 for the lowest one) ... 0.0 meV per atom
Space group ... No. 119
Energy relative to the elements ... -0.091 eV per atom

a b c (Å): 5.115 5.115 7.317
angles (deg): 110.46 110.46 90.00
Fractional positions:
1 Rb 0.000 0.000 0.000
2 Cd 0.750 0.250 0.500
3 In 0.615 0.615 0.230
4 In 0.385 0.385 0.770
5 Pb 0.250 0.750 0.500

***

## TaTeRu2 (PBE)

Data for an optimized crystal structure of TaTeRu2.

Summary:
Space group ... No. 47
Formation energy (no corrections) ... 231.4 meV/atom

a b c (Å): 3.179 4.799 4.404
angles (deg): 90.00 90.00 90.00
Fractional positions:
1 Ru 0.000 0.000 0.000
2 Ru 0.500 0.500 0.000
3 Ta 0.500 0.000 0.500
4 Te 0.000 0.500 0.500

***

## LiTc2Au (PBE)

Data for an optimized crystal structure of LiTc2Au.

Summary:
Polymorph energy (0 for the lowest one) ... 389.9 meV per atom
Space group ... No. 123
Energy relative to the elements ... 0.429 eV per atom

a b c (Å): 2.607 2.607 9.045
angles (deg): 90.00 90.00 90.00
Fractional positions:
1 Au 0.500 0.500 0.250
2 Li 0.500 0.500 0.750
3 Tc 0.000 0.000 0.995
4 Tc 0.000 0.000 0.505

***

## La2HoSe2S2 (PBE)

Data for an optimized crystal structure of La2HoSe2S2.

Summary:
Space group ... No. 139
Formation energy (no corrections) ... -1819.1 meV/atom

a b c (Å): 5.083 5.083 8.402
angles (deg): 107.61 107.61 90.00
Fractional positions:
1 La 0.376 0.376 0.752
2 La 0.624 0.624 0.248
3 Ho 0.000 0.000 0.000
4 Se 0.184 0.184 0.368
5 Se 0.816 0.816 0.632
6 S 0.000 0.500 0.000
7 S 0.500 0.000 0.000

***

## TbSm3Y6Er2 (PBE)

Data for an optimized crystal structure of TbSm3Y6Er2.

Summary:
Space group ... No. 12
Energy relative to the elements ... 0.019 eV per atom

a b c (Å): 6.191 6.191 11.827
angles (deg): 94.99 94.99 119.96
Fractional positions:
1 Tb 0.000 0.000 0.000
2 Sm 0.167 0.833 0.500
3 Sm 0.833 0.167 0.500
4 Sm 0.500 0.500 0.500
5 Y 0.917 0.584 0.752
6 Y 0.749 0.749 0.248
7 Y 0.083 0.416 0.248
8 Y 0.584 0.917 0.752
9 Y 0.251 0.251 0.752
10 Y 0.416 0.083 0.248
11 Er 0.333 0.667 0.000
12 Er 0.667 0.333 0.000

***

| no. | total energy (eV per cell) | V (A^3/atom) |
| --- | --- | --- |
| 1 | -57.605 | 25.17 |
| 2 | -87.992 | 8.68 |
| 3 | -29.935 | 21.21 |
| 4 | -11.520 | 33.28 |
| 5 | -32.621 | 16.80 |
| 6 | -24.206 | 15.37 |
| 7 | -42.391 | 28.03 |
| 8 | -66.465 | 32.23 |